The following is a PBE calculation of an optimized crystal structure of Cd4As5, from Alexandria.

## Properties
energy = -2.700 eV per atom
total magnetic moment = 0.00 μB/cell
DOS at the Fermi energy = 0.61 states/eV per atom
ΔH_f (0 K) = 0.29 eV/atom
offset from the most stable computed form = 3.1 kJ per mole of atoms

abc: 8.6768 8.6768 5.8786
angles: 90.00 90.00 120.00
Space group P6_3/mcm (No. 193)
Asymmetric unit:
Cd  0.0000  0.0000  0.0000
Cd  0.0000  0.3211  0.2500
As  0.0000  0.3558  0.7500
As  0.3333  0.6667  0.0000

The following is a PBE calculation of an optimized crystal structure of CdAs2, from Alexandria.

## Properties
energy = -3.193 eV per atom
total magnetic moment = 0.00 μB/cell
DOS at the Fermi energy = 0.60 states/eV per atom
ΔH_f (0 K) = 0.21 eV/atom

abc: 8.3659 8.3659 3.6946
angles: 90.00 90.00 120.00
Space group P-62m (No. 189)
Asymmetric unit:
Cd  0.0000  0.0000  0.0000
Cd  0.3333  0.6667  0.5000
As  0.0000  0.3193  0.5000
As  0.0000  0.5292  0.0000

The following is a PBE calculation of an optimized crystal structure of CdAs2, from Alexandria.

## Properties
energy = -3.055 eV per atom
total magnetic moment = 0.00 μB/cell
DOS at the Fermi energy = 0.88 states/eV per atom
ΔH_f (0 K) = 0.35 eV/atom

abc: 4.5441 4.5441 3.8845
angles: 90.00 90.00 120.00
Space group P6/mmm (No. 191)
Asymmetric unit:
Cd  0.0000  0.0000  0.0000
As  0.3333  0.6667  0.5000

The following is a PBE calculation of an optimized crystal structure of CdAs2, from Alexandria.

## Properties
energy = -3.282 eV per atom
total magnetic moment = 0.00 μB/cell
DOS at the Fermi energy = 0.37 states/eV per atom
ΔH_f (0 K) = 0.12 eV/atom

abc: 4.6042 7.3821 4.3992
angles: 90.00 90.00 90.00
Space group Pnnm (No. 58)
Asymmetric unit:
Cd  0.0000  0.0000  0.0000
As  0.1883  0.3903  0.0000

The following is a PBE calculation of an optimized crystal structure of Cd2As, from Alexandria.

## Properties
energy = -2.044 eV per atom
total magnetic moment = 0.00 μB/cell
DOS at the Fermi energy = 0.68 states/eV per atom
ΔH_f (0 K) = 0.12 eV/atom
offset from the most stable computed form = 11.1 kJ per mole of atoms

abc: 5.1622 5.1622 5.7713
angles: 90.00 90.00 120.00
Space group P6_3/mmc (No. 194)
Asymmetric unit:
Cd  0.0000  0.0000  0.0000
Cd  0.3333  0.6667  0.2500
As  0.3333  0.6667  0.7500

The following is a PBE calculation of an optimized crystal structure of CdAs2, from Alexandria.

## Properties
energy = -3.188 eV per atom
total magnetic moment = 0.00 μB/cell
DOS at the Fermi energy = 0.30 states/eV per atom
ΔH_f (0 K) = 0.22 eV/atom

abc: 5.1040 5.1040 5.8086
angles: 90.00 90.00 120.00
Space group P6_3/mmc (No. 194)
Asymmetric unit:
Cd  0.0000  0.0000  0.2500
As  0.3333  0.6667  0.0355

The following is a PBE calculation of an optimized crystal structure of Cd2As, from Alexandria.

## Properties
energy = -2.122 eV per atom
total magnetic moment = 0.00 μB/cell
DOS at the Fermi energy = 0.26 states/eV per atom
ΔH_f (0 K) = 0.04 eV/atom
offset from the most stable computed form = 3.6 kJ per mole of atoms

abc: 8.0375 3.1675 5.8008
angles: 90.00 92.52 90.00
Space group C2/m (No. 12)
Asymmetric unit:
Cd  0.2291  0.0000  0.2869
As  0.0000  0.5000  0.0000

The following is a PBE calculation of an optimized crystal structure of Cd2As, from Alexandria.

## Properties
energy = -2.090 eV per atom
total magnetic moment = 0.00 μB/cell
DOS at the Fermi energy = 0.39 states/eV per atom
ΔH_f (0 K) = 0.07 eV/atom
offset from the most stable computed form = 6.7 kJ per mole of atoms

abc: 4.3400 4.3400 4.4038
angles: 90.00 90.00 120.00
Space group P-3m1 (No. 164)
Asymmetric unit:
Cd  0.3333  0.6667  0.2950
As  0.0000  0.0000  0.0000